No. 1
# BeReHg2

Crystalline BeReHg2 at its relaxed geometry (GGA-PBE, Alexandria via LeMat-Bulk).

Cell lengths 6.468, 6.468, 6.468 Å; angles 90.00, 90.00, 90.00 degrees
Space group F-43m (No. 216)
Inequivalent atoms, fractional coordinates:
Be 0.000 0.000 0.000 [4 per cell]
Re 0.250 0.250 0.250 [4 per cell]
Hg 0.000 0.000 0.500 [4 per cell]
Hg 0.250 0.250 0.750 [4 per cell]

Its formation energy is 1.074 eV/atom. As for the density of states at the Fermi level: 3.17 states/eV/f.u.


No. 2
# RbPrAgO2

Crystalline RbPrAgO2 at its relaxed geometry (GGA-PBE, Alexandria via LeMat-Bulk).

Cell lengths 6.968, 6.231, 6.917 Å; angles 90.00, 98.60, 90.00 degrees
Space group P2/c (No. 13)
Inequivalent atoms, fractional coordinates:
Rb 0.000 0.179 0.250 [2 per cell]
Pr 0.500 0.475 0.750 [2 per cell]
Ag 0.500 0.000 0.000 [2 per cell]
O 0.332 0.342 0.457 [4 per cell]

The final energy is -5.2260 eV/atom. As for the density of states at the Fermi level: 1.64 states/eV/f.u.


No. 3
# Li2SmCd3

Crystalline Li2SmCd3 at its relaxed geometry (GGA-PBE, Alexandria via LeMat-Bulk).

Cell lengths 4.7558, 4.7558, 13.5955 Å; angles 90.00, 90.00, 120.00 degrees
Space group P6_3/mmc (No. 194)
Inequivalent atoms, fractional coordinates:
Li 0.3333 0.6667 0.0749 [4 per cell]
Sm 0.0000 0.0000 0.2500 [2 per cell]
Cd 0.0000 0.0000 0.0000 [2 per cell]
Cd 0.3333 0.6667 0.6290 [4 per cell]

Its formation energy is -0.245 eV/atom. As for the density of states at the Fermi level: 3.96 states/eV/f.u.


No. 4
# Rb2HfC

Crystalline Rb2HfC at its relaxed geometry (GGA-PBE, Alexandria via LeMat-Bulk).

Cell lengths 13.402, 13.402, 4.188 Å; angles 90.00, 90.00, 90.00 degrees
Space group I-42d (No. 122)
Inequivalent atoms, fractional coordinates:
Rb 0.059 0.250 0.125 [8 per cell]
Hf 0.000 0.000 0.500 [4 per cell]
C 0.000 0.000 0.000 [4 per cell]

Its formation energy is 0.872 eV/atom. As for the density of states at the Fermi level: 0.96 states/eV/f.u.


No. 5
# BaCrRh

Crystalline BaCrRh at its relaxed geometry (GGA-PBE, Alexandria via LeMat-Bulk).

Cell lengths 6.938, 6.938, 6.938 Å; angles 90.00, 90.00, 90.00 degrees
Space group F-43m (No. 216)
Inequivalent atoms, fractional coordinates:
Ba 0.000 0.000 0.000 [4 per cell]
Cr 0.250 0.250 0.750 [4 per cell]
Rh 0.250 0.250 0.250 [4 per cell]

Its formation energy is 1.225 eV/atom. As for the density of states at the Fermi level: 0.85 states/eV/f.u.


No. 6
# MgZn12Au6

Crystalline MgZn12Au6 at its relaxed geometry (GGA-PBE, Alexandria via LeMat-Bulk).

Cell lengths 11.7272, 11.7272, 8.5566 Å; angles 90.00, 90.00, 120.00 degrees
Space group R-3m (No. 166, hexagonal axes)
Inequivalent atoms, fractional coordinates:
Mg 0.0000 0.0000 0.0000 [3 per cell]
Zn 0.0000 0.3893 0.5000 [18 per cell]
Zn 0.0809 0.1617 0.2795 [18 per cell]
Au 0.0598 0.5299 0.2365 [18 per cell]

Its formation energy is -0.127 eV/atom. As for the density of states at the Fermi level: 6.87 states/eV/f.u.


No. 7
# UCr2B6

Crystalline UCr2B6 at its relaxed geometry (GGA-PBE, Alexandria via LeMat-Bulk).

Cell lengths 3.028, 6.397, 8.313 Å; angles 90.00, 90.00, 90.00 degrees
Space group Immm (No. 71)
Inequivalent atoms, fractional coordinates:
U 0.000 0.000 0.000 [2 per cell]
Cr 0.000 0.500 0.154 [4 per cell]
B 0.000 0.146 0.500 [4 per cell]
B 0.000 0.241 0.305 [8 per cell]

Its formation energy is -0.591 eV/atom. As for the density of states at the Fermi level: 6.13 states/eV/f.u.


No. 8
# MgRh2AuN

Crystalline MgRh2AuN at its relaxed geometry (GGA-PBE, Alexandria via LeMat-Bulk).

Cell lengths 4.037, 4.037, 4.331 Å; angles 90.00, 90.00, 90.00 degrees
Space group P4/mmm (No. 123)
Inequivalent atoms, fractional coordinates:
Mg 0.000 0.000 0.000 [1 per cell]
Rh 0.000 0.500 0.500 [2 per cell]
Au 0.500 0.500 0.000 [1 per cell]
N 0.000 0.000 0.500 [1 per cell]

The final energy is -5.7473 eV/atom. As for the density of states at the Fermi level: 3.10 states/eV/f.u.


No. 9
# AlFe2Sb

Crystalline AlFe2Sb at its relaxed geometry (GGA-PBE, Alexandria via LeMat-Bulk).

Cell lengths 8.335, 3.129, 4.880 Å; angles 90.00, 100.40, 90.00 degrees
Space group C2/m (No. 12)
Inequivalent atoms, fractional coordinates:
Al 0.000 0.000 0.000 [2 per cell]
Fe 0.245 0.500 0.199 [4 per cell]
Sb 0.000 0.500 0.500 [2 per cell]

The final energy is -6.0509 eV/atom. As for the density of states at the Fermi level: 2.33 states/eV/f.u.


No. 10
# DyBeGePt3

Crystalline DyBeGePt3 at its relaxed geometry (GGA-PBE, Alexandria via LeMat-Bulk).

Cell lengths 6.400, 11.848, 5.541 Å; angles 90.00, 90.00, 90.00 degrees
Space group Cmcm (No. 63)
Inequivalent atoms, fractional coordinates:
Dy 0.000 0.220 0.250 [4 per cell]
Be 0.000 0.473 0.250 [4 per cell]
Ge 0.000 0.131 0.750 [4 per cell]
Pt 0.000 0.332 0.750 [4 per cell]
Pt 0.225 0.000 0.000 [8 per cell]

Its formation energy is -0.748 eV/atom. As for the density of states at the Fermi level: 1.84 states/eV/f.u.


No. 11
# Mn2SiPt

Crystalline Mn2SiPt at its relaxed geometry (GGA-PBE, Alexandria via LeMat-Bulk).

Cell lengths 5.358, 5.358, 10.293 Å; angles 90.00, 90.00, 90.00 degrees
Space group I-42d (No. 122)
Inequivalent atoms, fractional coordinates:
Mn 0.245 0.250 0.125 [8 per cell]
Si 0.000 0.000 0.000 [4 per cell]
Pt 0.000 0.000 0.500 [4 per cell]

The final energy is -6.5080 eV/atom. As for the density of states at the Fermi level: 2.74 states/eV/f.u.


No. 12
# Ac2AlZnCu6

Crystalline Ac2AlZnCu6 at its relaxed geometry (GGA-PBE, Alexandria via LeMat-Bulk).

Cell lengths 6.360, 6.385, 6.631 Å; angles 62.26, 61.92, 60.42 degrees
Space group P-1 (No. 2)
Inequivalent atoms, fractional coordinates:
Ac 0.215 0.213 0.358 [2 per cell]
Al 0.500 0.500 0.500 [1 per cell]
Zn 0.000 0.000 0.000 [1 per cell]
Cu 0.249 0.641 0.862 [2 per cell]
Cu 0.250 0.250 0.854 [2 per cell]
Cu 0.357 0.747 0.142 [2 per cell]

Its formation energy is -0.136 eV/atom. As for the density of states at the Fermi level: 5.21 states/eV/f.u.


No. 13
# BeTc2Hg

Crystalline BeTc2Hg at its relaxed geometry (GGA-PBE, Alexandria via LeMat-Bulk).

Cell lengths 6.182, 6.182, 6.182 Å; angles 90.00, 90.00, 90.00 degrees
Space group Fm-3m (No. 225)
Inequivalent atoms, fractional coordinates:
Be 0.000 0.000 0.000 [4 per cell]
Tc 0.250 0.250 0.250 [8 per cell]
Hg 0.000 0.000 0.500 [4 per cell]

Its formation energy is 0.695 eV/atom. As for the density of states at the Fermi level: 3.85 states/eV/f.u.


No. 14
# BaNa2AlTc

Crystalline BaNa2AlTc at its relaxed geometry (GGA-PBE, Alexandria via LeMat-Bulk).

Cell lengths 5.626, 5.626, 6.412 Å; angles 90.00, 90.00, 90.00 degrees
Space group P4/mmm (No. 123)
Inequivalent atoms, fractional coordinates:
Ba 0.000 0.000 0.000 [1 per cell]
Na 0.000 0.500 0.500 [2 per cell]
Al 0.000 0.000 0.500 [1 per cell]
Tc 0.500 0.500 0.000 [1 per cell]

Its formation energy is 1.194 eV/atom. As for the density of states at the Fermi level: 6.47 states/eV/f.u.


No. 15
# TbDy2InN

Crystalline TbDy2InN at its relaxed geometry (GGA-PBE, Alexandria via LeMat-Bulk).

Cell lengths 4.821, 4.821, 4.849 Å; angles 90.00, 90.00, 90.00 degrees
Space group P4/mmm (No. 123)
Inequivalent atoms, fractional coordinates:
Tb 0.000 0.000 0.000 [1 per cell]
Dy 0.000 0.500 0.500 [2 per cell]
In 0.500 0.500 0.000 [1 per cell]
N 0.000 0.000 0.500 [1 per cell]

The final energy is -5.9741 eV/atom. As for the density of states at the Fermi level: 2.52 states/eV/f.u.


No. 16
# TlCu2BiPb

Crystalline TlCu2BiPb at its relaxed geometry (GGA-PBE, Alexandria via LeMat-Bulk).

Cell lengths 4.990, 4.990, 6.285 Å; angles 90.00, 90.00, 90.00 degrees
Space group P4/mmm (No. 123)
Inequivalent atoms, fractional coordinates:
Tl 0.000 0.000 0.000 [1 per cell]
Cu 0.000 0.500 0.500 [2 per cell]
Bi 0.500 0.500 0.000 [1 per cell]
Pb 0.500 0.500 0.500 [1 per cell]

Its formation energy is 0.639 eV/atom. As for the density of states at the Fermi level: 3.25 states/eV/f.u.


No. 17
# PmNdCd14

Crystalline PmNdCd14 at its relaxed geometry (GGA-PBE, Alexandria via LeMat-Bulk).

Cell lengths 6.705, 6.705, 8.455 Å; angles 90.00, 90.00, 90.00 degrees
Space group P4/mmm (No. 123)
Inequivalent atoms, fractional coordinates:
Pm 0.000 0.000 0.000 [1 per cell]
Nd 0.500 0.500 0.000 [1 per cell]
Cd 0.000 0.000 0.500 [1 per cell]
Cd 0.000 0.500 0.000 [2 per cell]
Cd 0.000 0.500 0.500 [2 per cell]
Cd 0.249 0.249 0.262 [8 per cell]
Cd 0.500 0.500 0.500 [1 per cell]

Its formation energy is -0.153 eV/atom. As for the density of states at the Fermi level: 6.03 states/eV/f.u.


No. 18
# KSr2SiIr

Crystalline KSr2SiIr at its relaxed geometry (GGA-PBE, Alexandria via LeMat-Bulk).

Cell lengths 6.009, 6.009, 4.701 Å; angles 90.00, 90.00, 90.00 degrees
Space group P4/mmm (No. 123)
Inequivalent atoms, fractional coordinates:
K 0.000 0.000 0.000 [1 per cell]
Sr 0.000 0.500 0.500 [2 per cell]
Si 0.500 0.500 0.000 [1 per cell]
Ir 0.500 0.500 0.500 [1 per cell]

The final energy is -3.9339 eV/atom. As for the density of states at the Fermi level: 1.90 states/eV/f.u.


No. 19
# Sr2LiCr

Crystalline Sr2LiCr at its relaxed geometry (GGA-PBE, Alexandria via LeMat-Bulk).

Cell lengths 4.0425, 4.0425, 32.0959 Å; angles 90.00, 90.00, 120.00 degrees
Space group R-3m (No. 166, hexagonal axes)
Inequivalent atoms, fractional coordinates:
Sr 0.0000 0.0000 0.2421 [6 per cell]
Li 0.0000 0.0000 0.0000 [3 per cell]
Cr 0.0000 0.0000 0.5000 [3 per cell]

Its formation energy is 0.583 eV/atom. As for the density of states at the Fermi level: 3.93 states/eV/f.u.


No. 20
# TmHfOsPt

Crystalline TmHfOsPt at its relaxed geometry (GGA-PBE, Alexandria via LeMat-Bulk).

Cell lengths 6.685, 6.685, 6.685 Å; angles 90.00, 90.00, 90.00 degrees
Space group F-43m (No. 216)
Inequivalent atoms, fractional coordinates:
Tm 0.000 0.000 0.000 [4 per cell]
Hf 0.000 0.000 0.500 [4 per cell]
Os 0.250 0.250 0.250 [4 per cell]
Pt 0.250 0.250 0.750 [4 per cell]

Its formation energy is -0.758 eV/atom. As for the density of states at the Fermi level: 1.87 states/eV/f.u.


No. 21
# Ce2PmPr3Y6

Crystalline Ce2PmPr3Y6 at its relaxed geometry (GGA-PBE, Alexandria via LeMat-Bulk).

Cell lengths 6.260, 10.843, 11.866 Å; angles 90.00, 100.12, 90.00 degrees
Space group C2/m (No. 12)
Inequivalent atoms, fractional coordinates:
Ce 0.000 0.167 0.000 [4 per cell]
Pm 0.000 0.500 0.000 [2 per cell]
Pr 0.000 0.000 0.500 [2 per cell]
Pr 0.000 0.334 0.500 [4 per cell]
Y 0.247 0.000 0.246 [4 per cell]
Y 0.250 0.168 0.754 [8 per cell]

Its formation energy is 0.046 eV/atom. As for the density of states at the Fermi level: 21.26 states/eV/f.u.


No. 22
# ScPBr

Crystalline ScPBr at its relaxed geometry (GGA-PBE, Alexandria via LeMat-Bulk).

Cell lengths 4.6059, 4.6059, 3.3057 Å; angles 90.00, 90.00, 120.00 degrees
Space group P-6m2 (No. 187)
Inequivalent atoms, fractional coordinates:
Sc 0.0000 0.0000 0.0000 [1 per cell]
P 0.6667 0.3333 0.5000 [1 per cell]
Br 0.3333 0.6667 0.0000 [1 per cell]

The final energy is -4.9515 eV/atom. As for the density of states at the Fermi level: 2.50 states/eV/f.u.


No. 23
# Cr2Ir3Rh

Crystalline Cr2Ir3Rh at its relaxed geometry (GGA-PBE, Alexandria via LeMat-Bulk).

Cell lengths 5.348, 7.610, 16.182 Å; angles 90.00, 90.00, 90.00 degrees
Space group Fddd (No. 70, origin choice 2)
Inequivalent atoms, fractional coordinates:
Cr 0.125 0.125 0.293 [16 per cell]
Ir 0.125 0.125 0.461 [16 per cell]
Ir 0.125 0.125 0.625 [8 per cell]
Rh 0.125 0.125 0.125 [8 per cell]

Its formation energy is -0.117 eV/atom. As for the density of states at the Fermi level: 6.58 states/eV/f.u.


No. 24
# LiPmMgBi

Crystalline LiPmMgBi at its relaxed geometry (GGA-PBE, Alexandria via LeMat-Bulk).

Cell lengths 7.541, 7.541, 7.541 Å; angles 90.00, 90.00, 90.00 degrees
Space group F-43m (No. 216)
Inequivalent atoms, fractional coordinates:
Li 0.000 0.000 0.000 [4 per cell]
Pm 0.250 0.250 0.750 [4 per cell]
Mg 0.250 0.250 0.250 [4 per cell]
Bi 0.000 0.000 0.500 [4 per cell]

Its formation energy is -0.194 eV/atom. As for the density of states at the Fermi level: 3.30 states/eV/f.u.


No. 25
# InSnPb2Se4

Crystalline InSnPb2Se4 at its relaxed geometry (GGA-PBE, Alexandria via LeMat-Bulk).

Cell lengths 7.485, 4.278, 7.499 Å; angles 90.00, 109.34, 90.00 degrees
Space group P2/m (No. 10)
Inequivalent atoms, fractional coordinates:
In 0.000 0.000 0.000 [1 per cell]
Sn 0.500 0.500 0.000 [1 per cell]
Pb 0.000 0.500 0.500 [1 per cell]
Pb 0.500 0.000 0.500 [1 per cell]
Se 0.245 0.500 0.239 [2 per cell]
Se 0.252 0.000 0.759 [2 per cell]

The final energy is -3.9837 eV/atom. As for the density of states at the Fermi level: 3.42 states/eV/f.u.